GGA-PBE Dy5YEr3, relaxed; energy above the most stable polymorph in this dataset = 0.0 meV/atom; energy relative to the elements = 0.234 eV per atom; DOS at the Fermi energy = 1.641 states/eV/atom
1.0
-3.145 -8.662 -0.657
4.554 -7.376 3.194
-3.088 -6.493 8.340
Dy Y Er
10 2 6
Cartesian
0.435 -12.547 8.547 Dy
-2.946 -15.735 8.761 Dy
-1.821 -6.660 1.637 Dy
1.268 -6.796 2.116 Dy
-1.622 -13.177 3.415 Dy
-2.113 -9.984 2.330 Dy
0.462 -12.178 5.524 Dy
-2.140 -10.353 5.353 Dy
-0.057 -9.354 7.462 Dy
0.142 -15.871 9.240 Dy
-2.926 -13.108 6.865 Y
1.248 -9.423 4.011 Y
0.000 0.000 0.000 Er
-1.072 -6.885 5.124 Er
-1.544 -3.246 4.170 Er
-0.606 -15.646 5.753 Er
-0.062 -3.728 0.687 Er
-1.616 -18.803 10.190 Er

GGA-PBE Ca8Ag2Sn, relaxed; energy relative to the elements = -0.243 eV per atom; DOS at the Fermi energy = 0.715 states/eV/atom
1.0
-5.031 2.697 -0.462
-1.796 -6.819 -4.701
-0.209 -1.626 8.315
Ca Ag Sn
8 2 1
Cartesian
-3.555 -0.769 -1.209 Ca
-3.150 0.556 2.112 Ca
-1.691 -2.681 1.276 Ca
-5.618 -0.178 4.801 Ca
-6.459 -2.927 -2.089 Ca
-5.355 -3.120 1.898 Ca
-3.896 -6.358 1.063 Ca
-3.491 -5.034 4.383 Ca
-3.816 -3.857 -0.809 Ag
-3.231 -1.945 3.983 Ag
-0.013 -0.020 0.010 Sn

GGA-PBE LaTaTe2, relaxed; energy above the most stable polymorph in this dataset = 86.9 meV/atom; energy relative to the elements, uncorrected = -450 meV per atom; DOS at the Fermi energy = 0.669 states/eV/atom
1.0
3.585 0.009 0.000
-0.008 3.585 0.000
0.000 0.000 7.634
La Ta Te
1 1 2
Cartesian
1.789 1.797 1.909 La
1.789 1.797 5.726 Ta
0.000 0.000 7.375 Te
0.000 0.000 4.076 Te

GGA-PBE Cs7SiSe6, relaxed; energy relative to the elements, uncorrected = -1002 meV per atom; DOS at the Fermi energy = 1.612 states/eV/atom
1.0
-6.940 -2.636 -5.459
-7.442 -8.826 5.946
-11.165 5.445 3.788
Cs Si Se
14 2 12
Cartesian
-16.165 2.780 -0.182 Cs
-9.383 -8.798 4.457 Cs
-14.351 -4.373 0.860 Cs
-11.197 -1.644 3.416 Cs
-9.328 -5.412 1.457 Cs
-13.124 -0.408 -1.213 Cs
-13.081 1.983 5.355 Cs
-15.562 -8.198 2.951 Cs
-16.220 -0.605 2.818 Cs
-12.423 -5.609 5.488 Cs
-12.466 -8.000 -1.080 Cs
-9.986 2.181 1.325 Cs
-6.387 -1.504 1.069 Cs
-19.161 -4.513 3.206 Cs
-9.857 -2.822 -1.661 Si
-15.690 -3.195 5.936 Si
-7.683 -3.602 -1.647 Se
-10.470 -1.943 -3.706 Se
-11.386 -4.515 -1.300 Se
-9.889 -1.229 0.011 Se
-17.865 -2.415 5.923 Se
-15.077 -4.074 7.982 Se
-14.161 -1.502 5.575 Se
-15.659 -4.788 4.264 Se
-9.127 -4.402 4.870 Se
-16.421 -1.615 -0.595 Se
-13.493 1.783 1.820 Se
-12.054 -7.800 2.455 Se

GGA-PBE LiTlIrO6, relaxed; energy relative to the elements, uncorrected = -676 meV per atom; DOS at the Fermi energy = 0.407 states/eV/atom
1.0
-0.118 -2.433 -3.984
2.050 -4.095 2.440
-5.152 0.586 -0.205
Li Tl Ir O
1 1 1 6
Cartesian
-0.410 -3.751 -0.434 Li
-2.751 -0.974 0.677 Tl
-0.059 -1.217 -1.992 Ir
-2.174 -4.283 -1.311 O
0.434 -3.037 -2.149 O
0.429 -5.606 -0.580 O
-0.881 -1.766 -0.378 O
1.308 -3.558 0.652 O
-1.575 -4.256 1.164 O

GGA-PBE LiYAlCl2, relaxed; energy relative to the elements, uncorrected = -646 meV per atom; DOS at the Fermi energy = 0.526 states/eV/atom
1.0
4.559 0.000 0.000
0.000 5.506 0.000
0.000 0.000 4.559
Y Li Al Cl
1 1 1 2
Cartesian
2.280 2.753 2.280 Y
0.000 0.000 0.000 Li
0.000 2.753 0.000 Al
0.000 0.000 2.280 Cl
2.280 0.000 0.000 Cl

Question: Look up the DOS at the Fermi energy of the fourth one.
Answer: 1.612 states/eV/atom